Record 1
Crystalline BeRu at its relaxed geometry, computed with PBE.

POSCAR file:
```
BeRu
1.0
2.700 0.000 0.000
-1.350 2.338 0.000
0.000 0.000 7.288
Be Ru
2 2
Direct
0.333 0.667 0.250 Be
0.667 0.333 0.750 Be
0.000 0.000 0.000 Ru
0.000 0.000 0.500 Ru
```

## Properties
Calculated formation energy   -0.046 eV/atom
Raw total energy   -26.19 eV/cell
Magnetic moment   0.0 μB/f.u.
Space-group type   P6_3/mmc (194)

Record 2
Crystalline BaLi2S2 at its relaxed geometry, computed with PBE.

POSCAR file:
```
BaLi2S2
1.0
-2.000 2.000 6.477
2.000 -2.000 6.477
2.000 2.000 -6.477
Ba Li S
1 2 2
Direct
0.000 0.000 0.000 Ba
0.250 0.750 0.500 Li
0.750 0.250 0.500 Li
0.360 0.360 0.000 S
0.640 0.640 0.000 S
```

## Properties
Offset from the most stable computed form   0 meV per atom
Raw total energy   -21.99 eV/cell
Magnetic moment   0.0 μB/f.u.
Uncorrected formation energy   -1.598 eV per atom
Space-group type   I4/mmm (139)